i | CeHoHf | PBE-GGA | relaxed

a b c (Å): 3.2759 3.2759 7.8917
angles (deg): 101.98 101.98 90.00
Last column: magnetic moment on the atom in μB.
Sites, in units of the cell vectors:
Hf 0.6661 0.6661 0.3321  -0.02
Ho 0.0095 0.0095 0.0189  0.04
Ce 0.3245 0.3245 0.6489  0.40

Properties
**Space group**: I4mm, No. 107
**D(E_F)**: 6.0 states/eV/cell

***

ii | CeHoHf | PBE-GGA | relaxed

a b c (Å): 3.2913 3.2913 14.9177
angles (deg): 90.00 90.00 90.00
Last column: magnetic moment on the atom in μB.
Sites, in units of the cell vectors:
Ho 0.0000 0.5000 0.5889  0.00
Ho 0.5000 0.0000 0.4111  0.00
Ce 0.5000 0.0000 0.7673  0.27
Ce 0.0000 0.5000 0.2327  0.27
Hf 0.0000 0.5000 0.9299  0.00
Hf 0.5000 0.0000 0.0701  0.00

Properties
**Space group**: P4/nmm, No. 129
**D(E_F)**: 11.2 states/eV/cell

***

Name the least stable of them. i.

***

i | CeHf2In | PBE-GGA | relaxed

a b c (Å): 4.3488 4.6490 4.6490
angles (deg): 90.00 90.00 90.00
Sites, in units of the cell vectors:
Hf 0.0000 0.0000 0.5000
Hf 0.0000 0.5000 0.0000
Ce 0.5000 0.0000 0.0000
In 0.5000 0.5000 0.5000

Properties
**Space group**: P4/mmm, No. 123
**D(E_F)**: 6.4 states/eV/cell

***

ii | CeHf2In | PBE-GGA | relaxed

a b c (Å): 3.1027 3.1027 11.4254
angles (deg): 82.20 82.20 60.00
Sites, in units of the cell vectors:
Hf 0.0904 0.0904 0.7289
Hf 0.9096 0.9096 0.2711
Ce 0.0000 0.0000 0.0000
In 0.5000 0.5000 0.5000

Properties
**Space group**: R-3m, No. 166
**D(E_F)**: 4.6 states/eV/cell

***

Name the least stable of them. ii.